Record 1
# PBE-GGA CeInAg, relaxed
# ΔH_f (0 K) ... -0.32 eV/atom
# Space-group type ... P-6m2 (187)
# ρ ... 8.24 g/cm3
# DOS at the Fermi energy ... 1.94 states/eV per atom
data_CeInAg
_chemical_formula_sum 'Ce1 In1 Ag1'
_symmetry_space_group_name_H-M 'P 1'
_symmetry_Int_Tables_number 1
_cell_length_a 5.028
_cell_length_b 5.028
_cell_length_c 3.338
_cell_angle_alpha 90.00
_cell_angle_beta 90.00
_cell_angle_gamma 120.00
loop_
_symmetry_equiv_pos_as_xyz
'x,y,z'
loop_
_atom_site_label
_atom_site_type_symbol
_atom_site_fract_x
_atom_site_fract_y
_atom_site_fract_z
Ce1 Ce 0.000 0.000 0.000
In1 In 0.333 0.667 0.500
Ag1 Ag 0.667 0.333 0.500

=====

Record 2
# PBE-GGA Y2HgRh, relaxed
# ΔH_f (0 K) ... -0.68 eV/atom
# Space-group type ... P4/mmm (123)
# ρ ... 8.64 g/cm3
# DOS at the Fermi energy ... 0.53 states/eV per atom
data_Y2HgRh
_chemical_formula_sum 'Y2 Hg1 Rh1'
_symmetry_space_group_name_H-M 'P 1'
_symmetry_Int_Tables_number 1
_cell_length_a 3.524
_cell_length_b 3.524
_cell_length_c 7.445
_cell_angle_alpha 90.00
_cell_angle_beta 90.00
_cell_angle_gamma 90.00
loop_
_symmetry_equiv_pos_as_xyz
'x,y,z'
loop_
_atom_site_label
_atom_site_type_symbol
_atom_site_fract_x
_atom_site_fract_y
_atom_site_fract_z
Y1 Y 0.000 0.000 0.224
Y2 Y 0.000 0.000 0.776
Hg1 Hg 0.500 0.500 0.500
Rh1 Rh 0.500 0.500 0.000

=====

Record 3
# PBE-GGA PmHo2Au, relaxed
# ΔH_f (0 K) ... -0.24 eV/atom
# Energy above the lowest structure with this stoichiometry ... 198 meV per atom
# Space-group type ... P4/mmm (123)
# ρ ... 10.42 g/cm3
# DOS at the Fermi energy ... 1.38 states/eV per atom
data_PmHo2Au
_chemical_formula_sum 'Pm1 Ho2 Au1'
_symmetry_space_group_name_H-M 'P 1'
_symmetry_Int_Tables_number 1
_cell_length_a 4.743
_cell_length_b 4.743
_cell_length_c 4.757
_cell_angle_alpha 90.00
_cell_angle_beta 90.00
_cell_angle_gamma 90.00
loop_
_symmetry_equiv_pos_as_xyz
'x,y,z'
loop_
_atom_site_label
_atom_site_type_symbol
_atom_site_fract_x
_atom_site_fract_y
_atom_site_fract_z
Pm1 Pm 0.000 0.000 0.000
Ho1 Ho 0.000 0.500 0.500
Ho2 Ho 0.500 0.000 0.500
Au1 Au 0.500 0.500 0.000

=====

Record 4
# PBE-GGA Zn2H6IrPd, relaxed
# Electronic total energy ... -3.71 eV per atom
# Space-group type ... P1 (1)
# ρ ... 7.08 g/cm3
# DOS at the Fermi energy ... 0.13 states/eV per atom
data_Zn2H6IrPd
_chemical_formula_sum 'Zn2 H6 Ir1 Pd1'
_symmetry_space_group_name_H-M 'P 1'
_symmetry_Int_Tables_number 1
_cell_length_a 4.567
_cell_length_b 4.842
_cell_length_c 4.922
_cell_angle_alpha 77.74
_cell_angle_beta 85.08
_cell_angle_gamma 73.99
loop_
_symmetry_equiv_pos_as_xyz
'x,y,z'
loop_
_atom_site_label
_atom_site_type_symbol
_atom_site_fract_x
_atom_site_fract_y
_atom_site_fract_z
Zn1 Zn 0.000 0.000 0.000
Zn2 Zn 0.407 0.335 0.245
H1 H 0.127 0.297 0.658
H2 H 0.219 0.840 0.566
H3 H 0.398 0.696 0.049
H4 H 0.648 0.366 0.621
H5 H 0.762 0.882 0.576
H6 H 0.920 0.498 0.257
Ir1 Ir 0.945 0.156 0.477
Pd1 Pd 0.572 0.784 0.312

=====

Record 5
# PBE-GGA HfCuHRh2, relaxed
# Energy above the lowest structure with this stoichiometry ... 97 meV per atom
# Space-group type ... P4/mmm (123)
# ρ ... 11.85 g/cm3
# DOS at the Fermi energy ... 0.24 states/eV per atom
data_HfCuHRh2
_chemical_formula_sum 'Hf1 Cu1 H1 Rh2'
_symmetry_space_group_name_H-M 'P 1'
_symmetry_Int_Tables_number 1
_cell_length_a 3.979
_cell_length_b 3.979
_cell_length_c 3.974
_cell_angle_alpha 90.00
_cell_angle_beta 90.00
_cell_angle_gamma 90.00
loop_
_symmetry_equiv_pos_as_xyz
'x,y,z'
loop_
_atom_site_label
_atom_site_type_symbol
_atom_site_fract_x
_atom_site_fract_y
_atom_site_fract_z
Hf1 Hf 0.000 0.000 0.000
Cu1 Cu 0.500 0.500 0.000
H1 H 0.000 0.000 0.500
Rh1 Rh 0.000 0.500 0.500
Rh2 Rh 0.500 0.000 0.500

=====

Record 6
# PBE-GGA CaNdDy, relaxed
# ΔH_f (0 K) ... 0.05 eV/atom
# Energy above the lowest structure with this stoichiometry ... 13 meV per atom
# Space-group type ... I4mm (107)
# ρ ... 5.39 g/cm3
# DOS at the Fermi energy ... 1.31 states/eV per atom
data_CaNdDy
_chemical_formula_sum 'Ca1 Nd1 Dy1'
_symmetry_space_group_name_H-M 'P 1'
_symmetry_Int_Tables_number 1
_cell_length_a 8.271
_cell_length_b 8.271
_cell_length_c 8.271
_cell_angle_alpha 154.23
_cell_angle_beta 154.23
_cell_angle_gamma 36.77
loop_
_symmetry_equiv_pos_as_xyz
'x,y,z'
loop_
_atom_site_label
_atom_site_type_symbol
_atom_site_fract_x
_atom_site_fract_y
_atom_site_fract_z
Ca1 Ca 0.000 0.000 0.000
Nd1 Nd 0.678 0.678 0.000
Dy1 Dy 0.327 0.327 0.000

=====

Record 7
# PBE-GGA Nd2PuSb3, relaxed
# Raw formation energy ... -982 meV/atom
# Energy above the lowest structure with this stoichiometry ... 3 meV per atom
# Space-group type ... Immm (71)
# ρ ... 7.75 g/cm3
# DOS at the Fermi energy ... 2.65 states/eV per atom
data_Nd2PuSb3
_chemical_formula_sum 'Nd2 Pu1 Sb3'
_symmetry_space_group_name_H-M 'P 1'
_symmetry_Int_Tables_number 1
_cell_length_a 7.774
_cell_length_b 7.774
_cell_length_c 7.774
_cell_angle_alpha 146.32
_cell_angle_beta 131.80
_cell_angle_gamma 60.09
loop_
_symmetry_equiv_pos_as_xyz
'x,y,z'
loop_
_atom_site_label
_atom_site_type_symbol
_atom_site_fract_x
_atom_site_fract_y
_atom_site_fract_z
Nd1 Nd 0.168 0.168 0.000
Nd2 Nd 0.832 0.832 0.000
Pu1 Pu 0.500 0.500 0.000
Sb1 Sb 0.000 0.500 0.500
Sb2 Sb 0.338 0.838 0.500
Sb3 Sb 0.662 0.162 0.500

=====

Record 8
# PBE-GGA P2HPbC, relaxed
# Electronic total energy ... -3.23 eV per atom
# Space-group type ... P4/mmm (123)
# ρ ... 4.74 g/cm3
# DOS at the Fermi energy ... 0.57 states/eV per atom
data_P2HPbC
_chemical_formula_sum 'P2 H1 Pb1 C1'
_symmetry_space_group_name_H-M 'P 1'
_symmetry_Int_Tables_number 1
_cell_length_a 5.260
_cell_length_b 5.260
_cell_length_c 3.576
_cell_angle_alpha 90.00
_cell_angle_beta 90.00
_cell_angle_gamma 90.00
loop_
_symmetry_equiv_pos_as_xyz
'x,y,z'
loop_
_atom_site_label
_atom_site_type_symbol
_atom_site_fract_x
_atom_site_fract_y
_atom_site_fract_z
P1 P 0.000 0.500 0.000
P2 P 0.500 0.000 0.000
H1 H 0.000 0.000 0.500
Pb1 Pb 0.000 0.000 0.000
C1 C 0.500 0.500 0.500

=====

Record 9
# PBE-GGA Ta2TcAs, relaxed
# ΔH_f (0 K) ... -0.14 eV/atom
# Space-group type ... Cmmm (65)
# ρ ... 13.45 g/cm3
# DOS at the Fermi energy ... 0.61 states/eV per atom
data_Ta2TcAs
_chemical_formula_sum 'Ta2 Tc1 As1'
_symmetry_space_group_name_H-M 'P 1'
_symmetry_Int_Tables_number 1
_cell_length_a 4.614
_cell_length_b 4.614
_cell_length_c 3.207
_cell_angle_alpha 90.00
_cell_angle_beta 90.00
_cell_angle_gamma 104.67
loop_
_symmetry_equiv_pos_as_xyz
'x,y,z'
loop_
_atom_site_label
_atom_site_type_symbol
_atom_site_fract_x
_atom_site_fract_y
_atom_site_fract_z
Ta1 Ta 0.000 0.500 0.000
Ta2 Ta 0.500 0.000 0.000
Tc1 Tc 0.000 0.000 0.500
As1 As 0.500 0.500 0.500

=====

Record 10
# PBE-GGA Er11Zn4Cd9, relaxed
# ΔH_f (0 K) ... -0.31 eV/atom
# Space-group type ... Cmmm (65)
# ρ ... 8.90 g/cm3
# DOS at the Fermi energy ... 0.82 states/eV per atom
data_Er11Zn4Cd9
_chemical_formula_sum 'Er11 Zn4 Cd9'
_symmetry_space_group_name_H-M 'P 1'
_symmetry_Int_Tables_number 1
_cell_length_a 13.032
_cell_length_b 13.032
_cell_length_c 3.704
_cell_angle_alpha 90.00
_cell_angle_beta 90.00
_cell_angle_gamma 112.60
loop_
_symmetry_equiv_pos_as_xyz
'x,y,z'
loop_
_atom_site_label
_atom_site_type_symbol
_atom_site_fract_x
_atom_site_fract_y
_atom_site_fract_z
Er1 Er 0.000 0.000 0.000
Er2 Er 0.075 0.414 0.000
Er3 Er 0.164 0.836 0.000
Er4 Er 0.290 0.290 0.000
Er5 Er 0.362 0.638 0.000
Er6 Er 0.414 0.075 0.000
Er7 Er 0.586 0.925 0.000
Er8 Er 0.638 0.362 0.000
Er9 Er 0.710 0.710 0.000
Er10 Er 0.836 0.164 0.000
Er11 Er 0.925 0.586 0.000
Zn1 Zn 0.259 0.451 0.500
Zn2 Zn 0.451 0.259 0.500
Zn3 Zn 0.549 0.741 0.500
Zn4 Zn 0.741 0.549 0.500
Cd1 Cd 0.065 0.213 0.500
Cd2 Cd 0.152 0.632 0.500
Cd3 Cd 0.213 0.065 0.500
Cd4 Cd 0.368 0.848 0.500
Cd5 Cd 0.500 0.500 0.500
Cd6 Cd 0.632 0.152 0.500
Cd7 Cd 0.787 0.935 0.500
Cd8 Cd 0.848 0.368 0.500
Cd9 Cd 0.935 0.787 0.500